DFT (PBE-GGA) results for a geometry-optimized Tb6CeTm8 structure.

```
Tb6CeTm8
1.0
4.466 2.578 6.803
-4.466 2.578 6.803
0.000 -5.156 6.803
Tb Ce Tm
6 1 8
Direct
0.040 0.608 0.726
0.274 0.960 0.392
0.392 0.274 0.960
0.608 0.726 0.040
0.726 0.040 0.608
0.960 0.392 0.274
0.500 0.500 0.500
0.077 0.077 0.077
0.218 0.612 0.250
0.250 0.218 0.612
0.388 0.750 0.782
0.612 0.250 0.218
0.750 0.782 0.388
0.782 0.388 0.750
0.923 0.923 0.923
```

- formation energy from the elements (eV/atom) = 0.13
- DFT total energy (eV/atom) = -4.50
- total magnetic moment (μB per cell) = 1.2



DFT (PBE-GGA) results for a geometry-optimized ZnIn6Ga structure.

```
ZnIn6Ga
1.0
4.397 0.000 0.000
0.000 5.026 4.498
0.000 -5.026 4.498
Zn In Ga
1 6 1
Direct
0.000 0.000 0.000
0.000 0.473 0.473
0.000 0.474 0.989
0.000 0.989 0.474
0.500 0.222 0.743
0.500 0.743 0.222
0.500 0.745 0.745
0.500 0.219 0.219
```

- formation energy from the elements (eV/atom) = 0.05
- DFT total energy (eV/atom) = -2.54
- total magnetic moment (μB per cell) = 0.0



DFT (PBE-GGA) results for a geometry-optimized Dy2US5 structure.

```
Dy2US5
1.0
2.658 -6.562 0.000
2.658 6.562 0.000
0.000 0.000 13.166
Dy U S
4 2 10
Direct
0.146 0.854 0.558
0.146 0.854 0.942
0.854 0.146 0.058
0.854 0.146 0.442
0.198 0.802 0.250
0.802 0.198 0.750
0.047 0.953 0.120
0.047 0.953 0.380
0.247 0.753 0.750
0.313 0.687 0.075
0.313 0.687 0.425
0.687 0.313 0.575
0.687 0.313 0.925
0.753 0.247 0.250
0.953 0.047 0.620
0.953 0.047 0.880
```

- formation energy without anion corrections (meV per atom) = -1767
- DFT total energy (eV/atom) = -6.91
- total magnetic moment (μB per cell) = 4.0
- E above lowest polymorph (eV per formula unit) = 0.00



DFT (PBE-GGA) results for a geometry-optimized UCl3F structure.

```
UCl3F
1.0
5.349 -4.221 0.000
5.349 4.221 0.000
-5.212 0.000 6.235
U Cl F
2 6 2
Direct
0.170 0.170 0.435
0.830 0.830 0.565
0.169 0.169 0.763
0.246 0.633 0.685
0.367 0.754 0.315
0.633 0.246 0.685
0.754 0.367 0.315
0.831 0.831 0.237
0.177 0.177 0.193
0.823 0.823 0.807
```

- formation energy without anion corrections (meV per atom) = -2180
- DFT total energy (eV/atom) = -5.92
- total magnetic moment (μB per cell) = 4.0
- E above lowest polymorph (eV per formula unit) = 0.00



DFT (PBE-GGA) results for a geometry-optimized SmSc2ZnPd4 structure.

```
SmSc2ZnPd4
1.0
2.289 1.321 8.318
-2.289 1.321 8.318
0.000 -2.643 8.318
Sm Sc Zn Pd
1 2 1 4
Direct
0.000 0.000 0.000
0.238 0.238 0.238
0.762 0.762 0.762
0.500 0.500 0.500
0.128 0.128 0.128
0.395 0.395 0.395
0.605 0.605 0.605
0.872 0.872 0.872
```

- formation energy from the elements (eV/atom) = -0.77
- DFT total energy (eV/atom) = -5.70
- total magnetic moment (μB per cell) = 0.0



DFT (PBE-GGA) results for a geometry-optimized LaZrAs structure.

```
LaZrAs
1.0
7.221 -1.926 0.000
7.221 1.926 0.000
-1.305 0.000 5.756
La Zr As
2 2 2
Direct
0.000 0.000 0.000
0.670 0.670 0.585
0.374 0.374 0.421
0.737 0.737 0.104
0.007 0.007 0.502
0.332 0.332 0.899
```

- formation energy from the elements (eV/atom) = -0.76
- DFT total energy (eV/atom) = -6.80
- total magnetic moment (μB per cell) = 0.0
- E above lowest polymorph (eV per formula unit) = 0.70



DFT (PBE-GGA) results for a geometry-optimized SmCuAg structure.

```
SmCuAg
1.0
4.586 0.000 0.000
-2.293 3.971 0.000
0.000 0.000 3.518
Sm Cu Ag
1 1 1
Direct
0.000 0.000 0.000
0.667 0.333 0.500
0.333 0.667 0.500
```

- formation energy from the elements (eV/atom) = -0.21
- DFT total energy (eV/atom) = -4.10
- total magnetic moment (μB per cell) = 0.0
- E above lowest polymorph (eV per formula unit) = 0.12



DFT (PBE-GGA) results for a geometry-optimized VCdSe3 structure.

```
VCdSe3
1.0
4.870 0.000 0.000
0.000 4.870 0.000
0.000 0.000 4.870
V Cd Se
1 1 3
Direct
0.000 0.000 0.000
0.500 0.500 0.500
0.000 0.000 0.500
0.000 0.500 0.000
0.500 0.000 0.000
```

- formation energy without anion corrections (meV per atom) = -90
- DFT total energy (eV/atom) = -4.19
- total magnetic moment (μB per cell) = 0.0
- E above lowest polymorph (eV per formula unit) = 0.00



DFT (PBE-GGA) results for a geometry-optimized Sm3SnSe2 structure.

```
Sm3SnSe2
1.0
3.714 -6.434 0.000
3.714 6.434 0.000
-2.483 0.000 6.998
Sm Sn Se
6 2 4
Direct
0.000 0.500 0.000
0.155 0.327 0.497
0.327 0.155 0.997
0.500 0.000 0.500
0.673 0.845 0.003
0.845 0.673 0.503
0.419 0.581 0.250
0.581 0.419 0.750
0.084 0.916 0.250
0.252 0.748 0.750
0.748 0.252 0.250
0.916 0.084 0.750
```

- formation energy without anion corrections (meV per atom) = -1487
- DFT total energy (eV/atom) = -5.68
- total magnetic moment (μB per cell) = 0.0
- E above lowest polymorph (eV per formula unit) = 0.00



DFT (PBE-GGA) results for a geometry-optimized EuTlInBi structure.

```
EuTlInBi
1.0
0.000 3.958 3.958
3.958 0.000 3.958
3.958 3.958 0.000
Eu Tl In Bi
1 1 1 1
Direct
0.000 0.000 0.000
0.250 0.250 0.250
0.500 0.500 0.500
0.750 0.750 0.750
```

- formation energy from the elements (eV/atom) = -0.29
- DFT total energy (eV/atom) = -5.10
- total magnetic moment (μB per cell) = 7.1



DFT (PBE-GGA) results for a geometry-optimized Li3IrS structure.

```
Li3IrS
1.0
4.468 0.000 0.000
0.000 4.468 0.000
0.000 0.000 4.468
Li Ir S
3 1 1
Direct
0.000 0.000 0.500
0.000 0.500 0.000
0.500 0.000 0.000
0.500 0.500 0.500
0.000 0.000 0.000
```

- formation energy without anion corrections (meV per atom) = 80
- DFT total energy (eV/atom) = -3.67
- total magnetic moment (μB per cell) = 2.0
- E above lowest polymorph (eV per formula unit) = 0.00



DFT (PBE-GGA) results for a geometry-optimized Tm2ThPb3 structure.

```
Tm2ThPb3
1.0
4.824 0.000 0.000
0.000 10.044 0.000
0.000 0.000 7.297
Tm Th Pb
4 2 6
Direct
0.000 0.001 0.000
0.000 0.999 0.500
0.500 0.213 0.252
0.500 0.787 0.752
0.500 0.430 0.752
0.500 0.570 0.252
0.000 0.338 0.472
0.000 0.339 0.032
0.000 0.661 0.532
0.000 0.662 0.972
0.500 0.100 0.749
0.500 0.900 0.249
```

- formation energy from the elements (eV/atom) = -0.34
- DFT total energy (eV/atom) = -4.92
- total magnetic moment (μB per cell) = 0.0
- E above lowest polymorph (eV per formula unit) = 0.15